TaCrO3: relaxed, PBE+U.

* DOS(E_F): 2.7 states/eV/cell
* magnetization: 5.0 μB per formula unit
* calculated total energy: -44.46 eV for the cell shown

abc: 3.9572 3.9572 3.9572
angles: 90.00 90.00 90.00
Closest atoms and distances in Å follow each position.
Space group Pm-3m (No. 221)
Symmetry-distinct sites (fractional):
1 Ta 0.0000 0.0000 0.0000 x1  6 O 1.98
2 Cr 0.5000 0.5000 0.5000 x1  12 O 2.80
3 O 0.0000 0.0000 0.5000 x3  2 Ta 1.98